! PBE ZrOsCS2, relaxed; values from VASP
! M_tot: 0.83 μB per cell
! raw formation energy: 1.37 eV/atom
&SYSTEM
  ibrav = 0, nat = 5, ntyp = 4
/
ATOMIC_SPECIES
S 32.06 S.upf
Os 190.23 Os.upf
C 12.01 C.upf
Zr 91.22 Zr.upf
CELL_PARAMETERS angstrom
4.311 0.000 0.000
0.000 5.611 0.000
0.000 0.000 4.311
ATOMIC_POSITIONS crystal
S 0.000 0.000 0.500
S 0.500 0.000 0.000
Os 0.000 0.000 0.000
C 0.500 0.500 0.500
Zr 0.000 0.500 0.000

! PBE CaCuMo2, relaxed; values from VASP
! M_tot: 0.00 μB per cell
! ΔE_f: 0.553 eV per atom
! offset from the most stable computed form: 4.92 kcal/mol of atoms
&SYSTEM
  ibrav = 0, nat = 4, ntyp = 3
/
ATOMIC_SPECIES
Cu 63.55 Cu.upf
Ca 40.08 Ca.upf
Mo 95.94 Mo.upf
CELL_PARAMETERS angstrom
-0.022 3.815 2.954
-2.481 3.669 1.914
-1.756 -3.114 4.588
ATOMIC_POSITIONS crystal
Cu 0.259 0.259 0.224
Ca 0.509 0.509 0.485
Mo 0.987 0.987 0.984
Mo 0.745 0.745 0.807